## AcNd3Y3 (PBE-GGA)

Data for a relaxed AcNd3Y3 crystal.

Computed properties:
DFT total energy in eV for the cell shown: -150.46
Energy of formation in meV per atom: 27
Fermi-level density of states in states/eV/f.u.: 10.6
Total magnetic moment in μB/cell: 0.0

extended XYZ file:
```
28
Lattice="10.523 3.126 -0.995 -2.699 10.461 -2.205 1.621 1.450 7.940" Properties=species:S:1:pos:R:3 pbc="T T T"
Ac -1.305 9.220 -1.820
Ac 1.731 2.393 1.377
Ac 7.713 12.643 3.352
Ac 10.728 5.820 6.552
Nd 1.749 10.391 -0.063
Nd 8.032 8.187 5.818
Nd 4.398 8.043 0.647
Nd 2.710 12.905 4.342
Nd 4.774 3.499 3.109
Nd 5.335 10.487 5.135
Nd -0.663 8.205 1.653
Nd 2.036 5.895 2.371
Nd 7.086 5.699 1.384
Nd 2.689 4.831 5.789
Nd 9.774 3.285 2.118
Nd -0.039 7.132 5.116
Y 4.693 11.539 1.622
Y 4.122 4.557 -0.397
Y 9.467 7.902 -0.355
Y -0.329 11.755 2.614
Y 6.751 10.197 -1.045
Y 7.688 4.636 4.811
Y 1.419 6.844 -1.091
Y 6.743 2.131 0.401
Y 5.052 7.000 4.111
Y 10.102 6.829 3.078
Y 2.371 9.343 3.368
Y 7.401 9.147 2.352
```



## MnAg8 (PBE-GGA)

Data for a relaxed MnAg8 crystal.

Computed properties:
DFT total energy in eV for the cell shown: -31.17
Energy of formation in meV per atom: 90
Fermi-level density of states in states/eV/f.u.: 2.4
Total magnetic moment in μB/cell: 4.2

extended XYZ file:
```
9
Lattice="5.379 -1.811 3.237 -4.517 4.703 -0.421 -3.935 -4.440 2.739" Properties=species:S:1:pos:R:3 pbc="T T T"
Mn 0.000 0.000 0.000
Ag 0.478 -2.069 1.978
Ag 0.967 -4.182 3.998
Ag -5.655 0.176 1.551
Ag -1.194 2.516 0.807
Ag -0.720 0.462 2.770
Ag -2.797 0.087 0.767
Ag -2.353 -2.011 2.785
Ag 2.056 0.376 2.009
```



## Sr3TlO (PBE-GGA)

Data for a relaxed Sr3TlO crystal.

Computed properties:
DFT total energy in eV for the cell shown: -23.65
Fermi-level density of states in states/eV/f.u.: 1.7
Total magnetic moment in μB/cell: 2.0
Formation energy without anion corrections in eV/f.u.: 0.546

extended XYZ file:
```
10
Lattice="6.104 0.000 0.000 0.000 6.104 0.000 3.052 3.052 12.164" Properties=species:S:1:pos:R:3 pbc="T T T"
Sr 4.667 6.104 3.167
Sr 3.052 4.489 8.996
Sr 3.052 7.719 8.996
Sr 1.437 6.104 3.167
Sr 3.052 3.052 4.890
Sr 6.104 6.104 7.273
Tl 0.000 0.000 0.000
Tl 3.052 6.104 6.082
O 6.104 3.052 8.416
O 6.104 3.052 3.748
```



## BaTaGa3 (PBE-GGA)

Data for a relaxed BaTaGa3 crystal.

Computed properties:
DFT total energy in eV for the cell shown: -12.79
Energy of formation in meV per atom: 2013
Fermi-level density of states in states/eV/f.u.: 14.0
Total magnetic moment in μB/cell: 0.0

extended XYZ file:
```
5
Lattice="5.483 0.000 0.000 0.000 5.483 0.000 0.000 0.000 5.483" Properties=species:S:1:pos:R:3 pbc="T T T"
Ba 0.000 0.000 0.000
Ga 0.000 2.741 0.000
Ga 0.000 0.000 2.741
Ga 2.741 0.000 0.000
Ta 2.741 2.741 2.741
```



Which value of total magnetic moment does entry 1 give?
0.0 μB/cell



DFT total energy of number 4 (BaTaGa3)?
-12.79 eV for the cell shown



Look up the DFT total energy of the third one.
-23.65 eV for the cell shown



Repeat the second record exactly.
## MnAg8 (PBE-GGA)

Data for a relaxed MnAg8 crystal.

Computed properties:
DFT total energy in eV for the cell shown: -31.17
Energy of formation in meV per atom: 90
Fermi-level density of states in states/eV/f.u.: 2.4
Total magnetic moment in μB/cell: 4.2

extended XYZ file:
```
9
Lattice="5.379 -1.811 3.237 -4.517 4.703 -0.421 -3.935 -4.440 2.739" Properties=species:S:1:pos:R:3 pbc="T T T"
Mn 0.000 0.000 0.000
Ag 0.478 -2.069 1.978
Ag 0.967 -4.182 3.998
Ag -5.655 0.176 1.551
Ag -1.194 2.516 0.807
Ag -0.720 0.462 2.770
Ag -2.797 0.087 0.767
Ag -2.353 -2.011 2.785
Ag 2.056 0.376 2.009
```